# 1
A plane-wave DFT calculation with GGA-PBE was carried out for NaNdY2Te4 after structural relaxation.

Formation energy (no corrections) (eV per atom): -1.353
Crystal system: monoclinic
Symmetry: No. 10
VASP energy (eV/atom): -5.30
Mass density (Mg/m³): 5.74

Cell lengths 4.3934, 7.7056, 7.7302 Å; angles 108.87, 90.00, 90.00 degrees
Last column: nearest neighbours and their distance in Å.
Atoms (fractional coordinates):
1 Na 0.0000 0.0000 0.0000  6 Te 3.15-3.17
2 Nd 0.5000 0.5000 0.0000  6 Te 3.18-3.19
3 Y 0.5000 0.0000 0.5000  6 Te 3.10
4 Y 0.0000 0.5000 0.5000  6 Te 3.11-3.13
5 Te 0.5000 0.2514 0.2584  3 Y 3.10-3.11, 2 Na 3.17, 1 Nd 3.18
6 Te 0.5000 0.7486 0.7416  3 Y 3.10-3.11, 2 Na 3.17, 1 Nd 3.18
7 Te 0.0000 0.2438 0.7419  3 Y 3.10-3.13, 1 Na 3.15, 2 Nd 3.19
8 Te 0.0000 0.7562 0.2581  3 Y 3.10-3.13, 1 Na 3.15, 2 Nd 3.19

# 2
A plane-wave DFT calculation with GGA-PBE was carried out for Y2Ga3Pd after structural relaxation.

Crystal system: orthorhombic
Symmetry: No. 69
VASP energy (eV/atom): -5.31
Energy of formation from the pure elements (eV/atom): -0.781
Mass density (Mg/m³): 6.65

Cell lengths 5.7223, 5.7223, 8.4945 Å; angles 105.65, 105.65, 101.49 degrees
Last column: nearest neighbours and their distance in Å.
Atoms (fractional coordinates):
1 Y 0.2500 0.7500 0.5000  4 Pd 3.13, 8 Ga 3.14
2 Y 0.7425 0.7425 0.0000  10 Ga 3.10-3.17, 2 Pd 3.13
3 Y 0.7500 0.2500 0.5000  4 Pd 3.13, 8 Ga 3.14
4 Y 0.2575 0.2575 0.0000  10 Ga 3.10-3.17, 2 Pd 3.13
5 Ga 0.3342 0.8327 0.1669  2 Ga 2.56, 1 Pd 2.56
6 Ga 0.1673 0.6658 0.8331  2 Ga 2.56, 1 Pd 2.56
7 Ga 0.6658 0.1673 0.8331  2 Ga 2.56, 1 Pd 2.56
8 Ga 0.8327 0.3342 0.1669  2 Ga 2.56, 1 Pd 2.56
9 Ga 0.1657 0.1657 0.3314  1 Pd 2.55, 2 Ga 2.56
10 Ga 0.8343 0.8343 0.6686  1 Pd 2.55, 2 Ga 2.56
11 Pd 0.6682 0.6682 0.3364  3 Ga 2.55-2.56
12 Pd 0.3318 0.3318 0.6636  3 Ga 2.55-2.56

# 3
A plane-wave DFT calculation with GGA-PBE was carried out for CaSn3Pb2Se6 after structural relaxation.

Formation energy (no corrections) (eV per atom): -0.727
Crystal system: monoclinic
Symmetry: No. 12
VASP energy (eV/atom): -4.26
Mass density (Mg/m³): 6.24

Cell lengths 4.3114, 8.6467, 9.6603 Å; angles 102.94, 102.89, 90.00 degrees
Last column: nearest neighbours and their distance in Å.
Atoms (fractional coordinates):
1 Ca 0.5000 0.0000 0.0000  6 Se 2.99-3.02
2 Sn 0.5000 0.5000 0.0000  6 Se 3.02-3.09
3 Sn 0.8356 0.1652 0.6711  6 Se 2.96-3.16
4 Sn 0.1644 0.8348 0.3289  6 Se 2.96-3.16
5 Pb 0.8337 0.6680 0.6675  6 Se 3.08-3.10
6 Pb 0.1663 0.3320 0.3325  6 Se 3.08-3.10
7 Se 0.3368 0.9256 0.6736  1 Ca 2.99, 3 Sn 2.99-3.16, 2 Pb 3.09
8 Se 0.6648 0.5860 0.3295  3 Sn 3.02-3.05, 3 Pb 3.08-3.10
9 Se 0.6632 0.0744 0.3264  1 Ca 2.99, 3 Sn 2.99-3.16, 2 Pb 3.09
10 Se 0.9972 0.2433 0.9944  3 Sn 2.96-3.09, 2 Ca 3.02, 1 Pb 3.10
11 Se 0.0028 0.7567 0.0056  3 Sn 2.96-3.09, 2 Ca 3.02, 1 Pb 3.10
12 Se 0.3352 0.4140 0.6705  3 Sn 3.02-3.05, 3 Pb 3.08-3.10

# 4
A plane-wave DFT calculation with GGA-PBE was carried out for Rb3LaAs2O8 after structural relaxation.

Formation energy (no corrections) (eV per atom): -1.999
Crystal system: trigonal
Symmetry: No. 164
VASP energy (eV/atom): -6.06
Mass density (Mg/m³): 4.15

Cell lengths 6.1576, 6.1576, 8.2003 Å; angles 90.00, 90.00, 120.00 degrees
Last column: nearest neighbours and their distance in Å.
Atoms (fractional coordinates):
1 Rb 0.3333 0.6667 0.7161  1 O 2.70
2 Rb 0.6667 0.3333 0.2839  1 O 2.70
3 Rb 0.0000 0.0000 0.0000  12 O 3.32-3.57
4 La 0.0000 0.0000 0.5000  6 O 2.39
5 As 0.3333 0.6667 0.2502  4 O 1.68-1.74
6 As 0.6667 0.3333 0.7498  4 O 1.68-1.74
7 O 0.3333 0.6667 0.0450  1 As 1.68
8 O 0.6667 0.3333 0.9550  1 As 1.68
9 O 0.1815 0.8185 0.3285  1 As 1.74
10 O 0.8185 0.1815 0.6715  1 As 1.74
11 O 0.1815 0.3630 0.3285  1 As 1.74
12 O 0.8185 0.6370 0.6715  1 As 1.74
13 O 0.6370 0.8185 0.3285  1 As 1.74
14 O 0.3630 0.1815 0.6715  1 As 1.74

# 5
A plane-wave DFT calculation with GGA-PBE was carried out for Mn2ReRu after structural relaxation.

Crystal system: trigonal
Symmetry: No. 160
VASP energy (eV/atom): -9.86
Energy of formation from the pure elements (eV/atom): 0.157
Mass density (Mg/m³): 12.42

Cell lengths 8.7011, 8.7011, 8.7011 Å; angles 17.69, 17.69, 17.69 degrees
Last column: nearest neighbours and their distance in Å.
Atoms (fractional coordinates):
1 Mn 0.9963 0.9963 0.9963  9 Mn 2.47-2.68, 3 Ru 2.66
2 Mn 0.2547 0.2547 0.2547  9 Mn 2.47-2.68, 3 Re 2.70
3 Re 0.5016 0.5016 0.5016  6 Re 2.68, 3 Mn 2.70, 3 Ru 2.73
4 Ru 0.7474 0.7474 0.7474  3 Mn 2.66, 6 Ru 2.68, 3 Re 2.73

# 6
A plane-wave DFT calculation with GGA-PBE was carried out for LiDyLuSc after structural relaxation.

Crystal system: cubic
Symmetry: No. 216
VASP energy (eV/atom): -4.18
Energy of formation from the pure elements (eV/atom): 0.162
Mass density (Mg/m³): 6.19

Cell lengths 5.2871, 5.2871, 5.2871 Å; angles 60.00, 60.00, 60.00 degrees
Last column: nearest neighbours and their distance in Å.
Atoms (fractional coordinates):
1 Sc 0.5000 0.5000 0.5000  4 Lu 3.24, 4 Dy 3.24
2 Lu 0.7500 0.7500 0.7500  4 Sc 3.24, 4 Li 3.24
3 Li 0.0000 0.0000 0.0000  4 Dy 3.24, 4 Lu 3.24
4 Dy 0.2500 0.2500 0.2500  4 Sc 3.24, 4 Li 3.24

Among the records above, which one has the highest mass density?
Mn2ReRu

Which of these has the lowest VASP energy?
Mn2ReRu

mass density of number 5 (Mn2ReRu)?
12.42 Mg/m³